Entry 1:
# UPa2Sn | Alexandria | GGA-PBE | relaxed
# Density of states at the Fermi level   5.37 states/eV/f.u.
# Distance to the lowest polymorph of the same formula   0.2973 eV/atom
# Total moment   0.000 μB/cell
data_UPa2Sn
_cell_length_a 3.7140
_cell_length_b 3.7140
_cell_length_c 24.5314
_cell_angle_alpha 90.00
_cell_angle_beta 90.00
_cell_angle_gamma 120.00
_space_group_name_H-M_alt 'R -3 m'
_space_group_IT_number 166
_space_group_name_Hall '-R 3 2"'
loop_
_atom_site_label
_atom_site_type_symbol
_atom_site_fract_x
_atom_site_fract_y
_atom_site_fract_z
U1 U 0.0000 0.0000 0.0000
Pa1 Pa 0.0000 0.0000 0.2662
Sn1 Sn 0.0000 0.0000 0.5000

Entry 2:
# U4PaSn | Alexandria | GGA-PBE | relaxed
# Density of states at the Fermi level   17.05 states/eV/f.u.
# Raw total energy   -231.04 eV per cell
# Total moment   13.724 μB/cell
data_U4PaSn
_cell_length_a 8.119
_cell_length_b 8.119
_cell_length_c 8.119
_cell_angle_alpha 90.00
_cell_angle_beta 90.00
_cell_angle_gamma 90.00
_space_group_name_H-M_alt 'F -4 3 m'
_space_group_IT_number 216
_space_group_name_Hall 'F -4 2 3'
loop_
_atom_site_label
_atom_site_type_symbol
_atom_site_fract_x
_atom_site_fract_y
_atom_site_fract_z
U1 U 0.123 0.123 0.377
Pa1 Pa 0.000 0.000 0.000
Sn1 Sn 0.250 0.250 0.750

Entry 3:
# UPaSn2 | Alexandria | GGA-PBE | relaxed
# Density of states at the Fermi level   9.85 states/eV/f.u.
# Distance to the lowest polymorph of the same formula   0.0000 eV/atom
# Total moment   3.739 μB/cell
data_UPaSn2
_cell_length_a 3.328
_cell_length_b 3.328
_cell_length_c 9.186
_cell_angle_alpha 90.00
_cell_angle_beta 90.00
_cell_angle_gamma 90.00
_space_group_name_H-M_alt 'P 4/m m m'
_space_group_IT_number 123
_space_group_name_Hall '-P 4 2'
loop_
_atom_site_label
_atom_site_type_symbol
_atom_site_fract_x
_atom_site_fract_y
_atom_site_fract_z
U1 U 0.000 0.000 0.000
Pa1 Pa 0.000 0.000 0.500
Sn1 Sn 0.500 0.500 0.250

What is the formula in the third record? UPaSn2

What is the total moment in the first record? 0.000 μB/cell

Look up the density of states at the Fermi level of the third one. 9.85 states/eV/f.u.